1.
Entry from Alexandria via LeMat-Bulk: crystalline BaNiSe2 at its relaxed geometry (PBE).

Unit cell a=5.038 b=5.038 c=7.575 alpha=90.00 beta=90.00 gamma=134.98
Positions (direct):
Ba  0.500  0.500  0.250
Ni  0.500  0.500  0.750
Se  0.000  0.000  0.937
Se  0.000  0.000  0.563

Results
Magnetic moment   0.0 Bohr magnetons per cell
Formation energy from raw total energies   -0.62 eV per atom
E   -17.17 eV per cell

---

2.
Entry from Alexandria via LeMat-Bulk: crystalline MgReNi2 at its relaxed geometry (PBE).

Unit cell a=2.695 b=2.695 c=7.364 alpha=90.00 beta=90.00 gamma=90.00
Positions (direct):
Re  0.500  0.500  0.500
Mg  0.500  0.500  0.000
Ni  0.000  0.000  0.738
Ni  0.000  0.000  0.262

Results
Magnetic moment   0.0 Bohr magnetons per cell
E   -25.83 eV per cell
E_form   -0.06 eV/atom

---

3.
Entry from Alexandria via LeMat-Bulk: crystalline YEr2Th at its relaxed geometry (PBE).

Unit cell a=5.647 b=5.647 c=5.647 alpha=60.00 beta=60.00 gamma=60.00
Positions (direct):
Y  0.000  0.000  0.000
Th  0.500  0.500  0.500
Er  0.250  0.250  0.250
Er  0.750  0.750  0.750

Results
Magnetic moment   0.0 Bohr magnetons per cell
Energy above the lowest structure with this stoichiometry   135.3 meV/atom
E   -22.46 eV per cell
E_form   0.14 eV/atom

---

4.
Entry from Alexandria via LeMat-Bulk: crystalline Hf2HF8 at its relaxed geometry (PBE).

Unit cell a=4.054 b=6.720 c=6.720 alpha=58.84 beta=93.88 gamma=93.88
Last column: magnetic moment on the atom in μB.
Positions (direct):
Hf  0.430  0.287  0.287  0.00
Hf  0.570  0.713  0.713  0.00
H  0.000  0.000  0.000  0.38
F  0.611  0.065  0.627  0.01
F  0.389  0.373  0.935  0.01
F  0.925  0.236  0.236  0.00
F  0.075  0.764  0.764  0.00
F  0.611  0.627  0.065  0.01
F  0.389  0.935  0.373  0.01
F  0.237  0.429  0.429  0.00
F  0.763  0.571  0.571  0.00

Results
Magnetic moment   1.0 Bohr magnetons per cell
E   -73.11 eV per cell

---

5.
Entry from Alexandria via LeMat-Bulk: crystalline Cs2UTe4Pd at its relaxed geometry (PBE).

Unit cell a=6.788 b=8.563 c=14.284 alpha=84.60 beta=76.25 gamma=66.65
Last column: magnetic moment on the atom in μB.
Positions (direct):
Cs  0.180  0.000  0.640  0.00
Cs  0.820  0.000  0.360  0.00
Cs  0.570  0.500  0.860  0.00
Cs  0.930  0.500  0.140  0.00
U  0.750  0.500  0.500  1.38
U  0.000  0.000  0.000  1.38
Te  0.319  0.792  0.106  -0.10
Te  0.218  0.208  0.894  -0.10
Te  0.888  0.792  0.894  -0.10
Te  0.574  0.208  0.106  -0.10
Te  0.431  0.708  0.394  -0.10
Te  0.532  0.292  0.606  -0.10
Te  0.862  0.708  0.606  -0.10
Te  0.176  0.292  0.394  -0.10
Pd  0.250  0.500  0.500  -0.20
Pd  0.500  0.000  0.000  -0.20

Results
Magnetic moment   0.9 Bohr magnetons per cell
Formation energy from raw total energies   -0.59 eV per atom
E   -71.01 eV per cell

---

6.
Entry from Alexandria via LeMat-Bulk: crystalline PaNbN3 at its relaxed geometry (PBE).

Unit cell a=3.686 b=5.610 c=6.780 alpha=90.00 beta=105.77 gamma=90.00
Positions (direct):
Pa  0.330  0.496  0.660
Pa  0.670  0.996  0.340
Nb  0.933  0.962  0.866
Nb  0.067  0.462  0.134
N  0.838  0.237  0.677
N  0.162  0.737  0.323
N  0.518  0.363  0.036
N  0.482  0.863  0.964
N  0.814  0.737  0.628
N  0.186  0.237  0.372

Results
Magnetic moment   0.0 Bohr magnetons per cell
Formation energy from raw total energies   -1.21 eV per atom
E   -101.15 eV per cell

---

7.
Entry from Alexandria via LeMat-Bulk: crystalline ScTcSe2 at its relaxed geometry (PBE).

Unit cell a=4.664 b=4.664 c=4.664 alpha=60.00 beta=60.00 gamma=60.00
Positions (direct):
Sc  0.500  0.500  0.500
Se  0.000  0.000  0.000
Se  0.250  0.250  0.250
Tc  0.750  0.750  0.750

Results
Magnetic moment   0.0 Bohr magnetons per cell
Formation energy from raw total energies   0.07 eV per atom
Energy above the lowest structure with this stoichiometry   763.9 meV/atom
E   -23.41 eV per cell

---

8.
Entry from Alexandria via LeMat-Bulk: crystalline Al3NiW at its relaxed geometry (PBE).

Unit cell a=4.344 b=4.344 c=4.344 alpha=90.00 beta=90.00 gamma=90.00
Positions (direct):
Ni  0.000  0.000  0.000
Al  0.000  0.500  0.000
Al  0.000  0.000  0.500
Al  0.500  0.000  0.000
W  0.500  0.500  0.500

Results
Magnetic moment   0.0 Bohr magnetons per cell
Energy above the lowest structure with this stoichiometry   0.0 meV/atom
E   -27.01 eV per cell
E_form   0.59 eV/atom

---

9.
Entry from Alexandria via LeMat-Bulk: crystalline HoZrGaPd at its relaxed geometry (PBE).

Unit cell a=4.881 b=4.881 c=4.881 alpha=60.00 beta=60.00 gamma=60.00
Last column: magnetic moment on the atom in μB.
Positions (direct):
Zr  0.500  0.500  0.500  0.21
Ga  0.250  0.250  0.250  0.00
Ho  0.000  0.000  0.000  0.11
Pd  0.750  0.750  0.750  0.03

Results
Magnetic moment   0.5 Bohr magnetons per cell
E   -23.55 eV per cell
E_form   -0.55 eV/atom

---

10.
Entry from Alexandria via LeMat-Bulk: crystalline ScIrO2 at its relaxed geometry (PBE).

Unit cell a=3.988 b=3.988 c=3.988 alpha=60.00 beta=60.00 gamma=60.00
Last column: magnetic moment on the atom in μB.
Positions (direct):
Sc  0.000  0.000  0.000  0.01
Ir  0.500  0.500  0.500  0.86
O  0.250  0.250  0.250  0.14
O  0.750  0.750  0.750  0.14

Results
Magnetic moment   1.2 Bohr magnetons per cell
Formation energy from raw total energies   -0.89 eV per atom
Energy above the lowest structure with this stoichiometry   1045.3 meV/atom
E   -28.66 eV per cell

---

11.
Entry from Alexandria via LeMat-Bulk: crystalline Ho2GaRe at its relaxed geometry (PBE).

Unit cell a=3.100 b=3.100 c=10.609 alpha=81.60 beta=81.60 gamma=60.00
Positions (direct):
Re  0.000  0.000  0.000
Ho  0.088  0.088  0.736
Ho  0.912  0.912  0.264
Ga  0.500  0.500  0.500

Results
Magnetic moment   0.0 Bohr magnetons per cell
E   -22.52 eV per cell
E_form   0.53 eV/atom

---

12.
Entry from Alexandria via LeMat-Bulk: crystalline Sr7As2N2 at its relaxed geometry (PBE).

Unit cell a=6.799 b=7.085 c=6.799 alpha=90.03 beta=96.57 gamma=89.97
Last column: magnetic moment on the atom in μB.
Positions (direct):
Sr  0.000  0.232  0.500  0.03
Sr  0.500  0.768  0.000  0.03
Sr  0.000  0.768  0.500  0.03
Sr  0.500  0.232  0.000  0.03
Sr  0.000  0.000  0.000  0.06
Sr  0.500  0.783  0.500  0.04
Sr  0.500  0.217  0.500  0.04
As  0.763  0.500  0.763  0.00
As  0.237  0.500  0.237  0.00
N  0.726  0.000  0.274  0.01
N  0.274  0.000  0.726  0.01

Results
Magnetic moment   1.1 Bohr magnetons per cell
Formation energy from raw total energies   -0.52 eV per atom
E   -43.42 eV per cell

---

13.
Entry from Alexandria via LeMat-Bulk: crystalline BiOsF3 at its relaxed geometry (PBE).

Unit cell a=4.289 b=4.289 c=4.289 alpha=90.00 beta=90.00 gamma=90.00
Last column: magnetic moment on the atom in μB.
Positions (direct):
Os  0.000  0.000  0.000  0.08
Bi  0.500  0.500  0.500  -0.02
F  0.000  0.500  0.000  0.00
F  0.000  0.000  0.500  0.00
F  0.500  0.000  0.000  0.00

Results
Magnetic moment   0.1 Bohr magnetons per cell
Formation energy from raw total energies   -0.36 eV per atom
Energy above the lowest structure with this stoichiometry   0.0 meV/atom
E   -22.52 eV per cell

---

14.
Entry from Alexandria via LeMat-Bulk: crystalline Fe4TeAs at its relaxed geometry (PBE).

Unit cell a=5.038 b=5.038 c=5.038 alpha=60.00 beta=60.00 gamma=60.00
Last column: magnetic moment on the atom in μB.
Positions (direct):
Fe  0.626  0.626  0.123  2.64
Fe  0.626  0.123  0.626  2.64
Fe  0.626  0.626  0.626  2.64
Fe  0.123  0.626  0.626  2.64
Te  0.250  0.250  0.250  0.01
As  0.000  0.000  0.000  -0.03

Results
Magnetic moment   10.6 Bohr magnetons per cell
Formation energy from raw total energies   0.35 eV per atom
E   -39.53 eV per cell

---

15.
Entry from Alexandria via LeMat-Bulk: crystalline Na12ZnAg6 at its relaxed geometry (PBE).

Unit cell a=7.860 b=7.860 c=7.860 alpha=87.57 beta=87.57 gamma=87.57
Positions (direct):
Na  0.578  0.190  0.468
Na  0.190  0.468  0.578
Na  0.468  0.578  0.190
Na  0.422  0.810  0.532
Na  0.810  0.532  0.422
Na  0.532  0.422  0.810
Na  0.973  0.852  0.622
Na  0.378  0.027  0.148
Na  0.148  0.378  0.027
Na  0.027  0.148  0.378
Na  0.622  0.973  0.852
Na  0.852  0.622  0.973
Zn  0.000  0.000  0.000
Ag  0.246  0.103  0.752
Ag  0.897  0.248  0.754
Ag  0.248  0.754  0.897
Ag  0.754  0.897  0.248
Ag  0.103  0.752  0.246
Ag  0.752  0.246  0.103

Results
Magnetic moment   0.0 Bohr magnetons per cell
E   -34.37 eV per cell
E_form   -0.01 eV/atom

---

16.
Entry from Alexandria via LeMat-Bulk: crystalline Ca2BeRu at its relaxed geometry (PBE).

Unit cell a=7.638 b=4.799 c=3.593 alpha=89.96 beta=62.00 gamma=128.31
Positions (direct):
Ru  0.000  0.500  0.500
Ca  0.000  0.000  0.000
Ca  0.500  0.000  0.500
Be  0.500  0.500  0.000

Results
Magnetic moment   0.0 Bohr magnetons per cell
E   -15.18 eV per cell
E_form   0.46 eV/atom

---

17.
Entry from Alexandria via LeMat-Bulk: crystalline Hf2Al6Os at its relaxed geometry (PBE).

Unit cell a=6.092 b=5.484 c=5.484 alpha=59.59 beta=100.61 gamma=100.61
Positions (direct):
Hf  0.887  0.651  0.651
Hf  0.113  0.349  0.349
Al  0.327  0.385  0.869
Al  0.299  0.866  0.866
Al  0.327  0.869  0.385
Al  0.673  0.615  0.131
Al  0.701  0.134  0.134
Al  0.673  0.131  0.615
Os  0.000  0.000  0.000

Results
Magnetic moment   0.0 Bohr magnetons per cell
E   -56.60 eV per cell
E_form   -0.33 eV/atom

---

18.
Entry from Alexandria via LeMat-Bulk: crystalline CrAs2HSe at its relaxed geometry (PBE).

Unit cell a=4.636 b=4.636 c=4.591 alpha=90.00 beta=90.00 gamma=90.00
Positions (direct):
Cr  0.000  0.000  0.000
As  0.000  0.500  0.000
As  0.500  0.000  0.000
Se  0.000  0.000  0.500
H  0.500  0.500  0.500

Results
Magnetic moment   0.0 Bohr magnetons per cell
Energy above the lowest structure with this stoichiometry   0.0 meV/atom
E   -22.23 eV per cell

---

19.
Entry from Alexandria via LeMat-Bulk: crystalline ReN2 at its relaxed geometry (PBE).

Unit cell a=2.878 b=2.878 c=9.335 alpha=79.07 beta=79.07 gamma=60.02
Positions (direct):
Re  0.065  0.065  0.937
Re  0.242  0.242  0.504
N  0.455  0.455  0.797
N  0.518  0.518  0.644
N  0.629  0.629  0.374
N  0.345  0.345  0.067

Results
Magnetic moment   0.0 Bohr magnetons per cell
Formation energy from raw total energies   0.25 eV per atom
E   -56.67 eV per cell

---

20.
Entry from Alexandria via LeMat-Bulk: crystalline Pm4AlAgHg2 at its relaxed geometry (PBE).

Unit cell a=5.321 b=5.321 c=9.265 alpha=73.31 beta=73.31 gamma=60.00
Last column: magnetic moment on the atom in μB.
Positions (direct):
Pm  0.375  0.375  0.876  0.08
Pm  0.876  0.876  0.373  0.10
Pm  0.124  0.124  0.627  0.10
Pm  0.625  0.625  0.124  0.08
Al  0.000  0.000  0.000  0.00
Ag  0.500  0.500  0.500  0.01
Hg  0.749  0.749  0.753  0.01
Hg  0.251  0.251  0.247  0.01

Results
Magnetic moment   0.7 Bohr magnetons per cell
E   -29.23 eV per cell
E_form   -0.38 eV/atom

---

21.
Entry from Alexandria via LeMat-Bulk: crystalline Hg3GePt at its relaxed geometry (PBE).

Unit cell a=5.224 b=5.224 c=5.224 alpha=90.00 beta=90.00 gamma=90.00
Positions (direct):
Ge  0.500  0.500  0.500
Hg  0.000  0.500  0.000
Hg  0.000  0.000  0.500
Hg  0.500  0.000  0.000
Pt  0.000  0.000  0.000

Results
Magnetic moment   0.0 Bohr magnetons per cell
Energy above the lowest structure with this stoichiometry   0.0 meV/atom
E   -9.49 eV per cell
E_form   0.41 eV/atom

---

22.
Entry from Alexandria via LeMat-Bulk: crystalline Ba2ZnCu at its relaxed geometry (PBE).

Unit cell a=5.731 b=5.731 c=4.018 alpha=89.96 beta=89.96 gamma=90.03
Positions (direct):
Zn  0.000  0.500  0.500
Ba  0.000  0.000  0.000
Ba  0.500  0.500  0.000
Cu  0.500  0.000  0.500

Results
Magnetic moment   0.0 Bohr magnetons per cell
E   -9.34 eV per cell
E_form   -0.03 eV/atom

---

23.
Entry from Alexandria via LeMat-Bulk: crystalline Zr4CoCu at its relaxed geometry (PBE).

Unit cell a=5.594 b=5.594 c=5.594 alpha=60.00 beta=60.00 gamma=60.00
Last column: magnetic moment on the atom in μB.
Positions (direct):
Zr  0.873  0.376  0.376  -0.03
Zr  0.376  0.376  0.873  -0.03
Zr  0.376  0.873  0.376  -0.03
Zr  0.376  0.376  0.376  -0.03
Co  0.750  0.750  0.750  1.66
Cu  0.000  0.000  0.000  0.01

Results
Magnetic moment   1.3 Bohr magnetons per cell
Energy above the lowest structure with this stoichiometry   908.1 meV/atom
E   -41.12 eV per cell
E_form   0.71 eV/atom

---

24.
Entry from Alexandria via LeMat-Bulk: crystalline Mg2Ag2I at its relaxed geometry (PBE).

Unit cell a=3.881 b=3.881 c=8.863 alpha=77.35 beta=77.35 gamma=90.00
Positions (direct):
I  0.000  0.000  0.000
Mg  0.376  0.376  0.248
Mg  0.624  0.624  0.752
Ag  0.750  0.250  0.500
Ag  0.250  0.750  0.500

Results
Magnetic moment   0.0 Bohr magnetons per cell
Formation energy from raw total energies   -0.10 eV per atom
Energy above the lowest structure with this stoichiometry   0.0 meV/atom
E   -10.95 eV per cell

---

25.
Entry from Alexandria via LeMat-Bulk: crystalline Sm8Ni2Pd at its relaxed geometry (PBE).

Unit cell a=6.043 b=7.695 c=7.695 alpha=114.64 beta=99.55 gamma=99.55
Positions (direct):
Sm  0.582  0.348  0.087
Sm  0.582  0.087  0.348
Sm  0.173  0.373  0.373
Sm  0.988  0.220  0.784
Sm  0.988  0.784  0.220
Sm  0.807  0.634  0.634
Sm  0.384  0.918  0.658
Sm  0.384  0.658  0.918
Ni  0.488  0.700  0.306
Ni  0.488  0.306  0.700
Pd  0.136  0.007  0.007

Results
Magnetic moment   0.0 Bohr magnetons per cell
E   -56.22 eV per cell
E_form   -0.16 eV/atom